# LaV3Ge | the Alexandria database | PBE | optimized geometry
# DOS(E_F): 1.69 states/eV per atom
# ρ: 6.2 Mg/m³
# excess energy over the best structure of this formula in the dataset: 1085 meV/atom
data_LaV3Ge
_chemical_formula_sum 'La1 V3 Ge1'
_cell_length_a 4.607
_cell_length_b 4.607
_cell_length_c 4.607
_cell_angle_alpha 90.00
_cell_angle_beta 90.00
_cell_angle_gamma 90.00
_space_group_name_H-M_alt 'P m -3 m'
_space_group_IT_number 221
_space_group_name_Hall '-P 4 2 3'
loop_
_atom_site_label
_atom_site_type_symbol
_atom_site_fract_x
_atom_site_fract_y
_atom_site_fract_z
La1 La 0.000 0.000 0.000
V1 V 0.000 0.000 0.500
Ge1 Ge 0.500 0.500 0.500